NaCr2RhSe | the Alexandria database | GGA-PBE | optimized geometry; total DFT energy (no corrections) = -20.0 eV/f.u.; formation energy without anion corrections = 220.9 kJ/mol of atoms; magnetic moment = 0.15 μB per formula unit
1.0
4.4091 0.0000 0.0000
0.0000 4.4091 0.0000
0.0000 0.0000 4.5891
Na Cr Rh Se
1 2 1 1
Direct
0.0000 0.0000 0.0000
0.0000 0.5000 0.0000
0.5000 0.0000 0.0000
0.5000 0.5000 0.5000
0.0000 0.0000 0.5000